[1]
Material: BeAsRh2
Method: DFT, PBE-GGA
State: relaxed

Computed properties:
VASP energy = -6.125 eV/atom

The structure in POSCAR format:
```
BeAsRh2
1.0
-0.323 1.393 2.857
-3.879 -1.082 0.090
1.007 -3.460 1.801
Be As Rh
1 1 2
Direct
0.500 0.000 0.000
0.500 0.500 0.500
0.000 0.000 0.500
0.000 0.500 0.000
```


[2]
Material: ScZn2P
Method: DFT, PBE-GGA
State: relaxed

Computed properties:
VASP energy = -3.957 eV/atom

The structure in POSCAR format:
```
ScZn2P
1.0
-6.890 0.221 -3.046
-2.901 -2.823 6.357
-5.216 1.045 2.551
Sc P Zn
2 2 4
Direct
0.000 0.000 0.000
0.750 0.250 0.500
0.500 0.500 0.000
0.250 0.750 0.500
0.573 0.125 0.250
0.177 0.625 0.250
0.375 0.427 0.750
0.875 0.823 0.750
```


[3]
Material: Ti2NiGeS
Method: DFT, PBE-GGA
State: relaxed

Computed properties:
formation energy from raw total energies = 0.38 eV per atom

The structure in POSCAR format:
```
Ti2NiGeS
1.0
-1.573 4.187 1.848
-2.885 -2.072 2.237
3.144 -0.432 3.654
Ni Ge S Ti
1 1 1 2
Direct
0.000 0.500 0.000
0.000 0.000 0.000
0.500 0.500 0.500
0.000 0.000 0.500
0.500 0.000 0.000
```


[4]
Material: Li2La2Mo
Method: DFT, PBE-GGA
State: relaxed

Computed properties:
VASP energy = -4.304 eV/atom

The structure in POSCAR format:
```
Li2La2Mo
1.0
-2.761 -1.039 6.870
0.532 -7.403 -0.906
4.405 0.098 1.785
Mo Li La
2 4 4
Direct
0.000 0.000 0.000
0.500 0.500 0.000
0.147 0.647 0.500
0.647 0.853 0.500
0.853 0.353 0.500
0.353 0.147 0.500
0.331 0.831 0.000
0.831 0.669 0.000
0.669 0.169 0.000
0.169 0.331 0.000
```


[5]
Material: Pr4Hg
Method: DFT, PBE-GGA
State: relaxed

Computed properties:
VASP energy = -4.065 eV/atom

The structure in POSCAR format:
```
Pr4Hg
1.0
-2.521 -1.656 2.277
-0.760 -2.543 -2.690
10.029 -4.868 4.425
Pr Hg
4 1
Direct
0.586 0.586 0.171
0.195 0.195 0.391
0.805 0.805 0.609
0.414 0.414 0.829
0.000 0.000 0.000
```


[6]
Material: LaPaC2
Method: DFT, PBE-GGA
State: relaxed

Computed properties:
VASP energy = -8.345 eV/atom

The structure in POSCAR format:
```
LaPaC2
1.0
-2.378 -1.945 -1.994
1.217 -2.580 -2.296
-0.747 -5.695 3.084
La Pa C
1 1 2
Direct
0.499 0.499 0.502
0.665 0.665 0.005
0.071 0.071 0.789
0.265 0.265 0.204
```


The records above yield calculated volume values of 51.8 143.8 98.3 265.7 167.0 71.6 Å³/cell, respectively.